No. 1
Below is RbB5H5 after structural relaxation, with properties calculated at the PBEsol level.

DOS at the Fermi energy in states/eV/f.u.: 0.0
Magnetic moment in μB per atom: 0.000
E in eV per atom: -5.069

Cell lengths 7.150, 11.067, 14.208 Å; angles 90.00, 117.83, 90.00 degrees
Space group P2_1/c (No. 14)
One atom of each set of equivalent atoms:
Rb  0.038  0.017  0.317
Rb  0.330  0.639  0.587
B  0.060  0.201  0.558
B  0.154  0.248  0.475
B  0.178  0.161  0.087
B  0.264  0.117  0.564
B  0.286  0.209  0.675
B  0.362  0.144  0.034
B  0.399  0.707  0.385
B  0.423  0.200  0.519
B  0.457  0.170  0.177
B  0.484  0.674  0.840
H  0.037  0.243  0.880
H  0.079  0.074  0.091
H  0.116  0.671  0.960
H  0.223  0.678  0.367
H  0.243  0.010  0.549
H  0.277  0.184  0.756
H  0.350  0.056  0.981
H  0.357  0.601  0.780
H  0.468  0.152  0.455
H  0.470  0.602  0.247

=====

No. 2
Below is RbB6H6 after structural relaxation, with properties calculated at the PBEsol level.

DOS at the Fermi energy in states/eV/f.u.: 0.0
Magnetic moment in μB per atom: 0.000
E in eV per atom: -5.205

Cell lengths 10.645, 10.645, 10.645 Å; angles 90.00, 90.00, 90.00 degrees
Space group Fm-3 (No. 202)
One atom of each set of equivalent atoms:
Rb  0.250  0.250  0.250
B  0.000  0.135  0.083
H  0.000  0.232  0.142